# 1
The following is a DFT calculation (PBE-GGA) of crystalline LaRhCl2 at its relaxed geometry.

Lattice parameters (Å, degrees): 7.0845 7.0845 7.0845 147.18 145.57 48.30
Last column: nearest neighbours and their distance in Å.
Sites, in units of the cell vectors:
La1 0.0000 0.0000 0.0000  4 Cl 2.89, 4 Rh 2.90
Rh1 0.5000 0.5000 0.0000  4 Cl 2.82, 4 La 2.90
Cl1 0.3462 0.8462 0.5000  2 Rh 2.82, 2 La 2.89
Cl2 0.6538 0.1538 0.5000  2 Rh 2.82, 2 La 2.89

Results
DOS(E_F) ... 3.6 states/eV/f.u.
M_tot ... 0.17 Bohr magnetons per cell
Calculated volume ... 27.12 Å³/atom
Energy above the lowest structure with this stoichiometry ... 0.2695 eV/atom
Energy relative to the elements, uncorrected ... -1093 meV/atom
Symmetry ... No. 71

***

# 2
The following is a DFT calculation (PBE-GGA) of crystalline LaRh2Cl at its relaxed geometry.

Lattice parameters (Å, degrees): 4.7939 4.7939 4.7939 60.00 60.00 60.00
Last column: nearest neighbours and their distance in Å.
Sites, in units of the cell vectors:
La1 0.0000 0.0000 0.0000  4 Cl 2.94, 4 Rh 2.94
Rh1 0.2500 0.2500 0.2500  4 Rh 2.94, 4 La 2.94
Rh2 0.5000 0.5000 0.5000  4 Cl 2.94, 4 Rh 2.94
Cl1 0.7500 0.7500 0.7500  4 La 2.94, 4 Rh 2.94

Results
DOS(E_F) ... 6.1 states/eV/f.u.
M_tot ... 0.53 Bohr magnetons per cell
Calculated volume ... 19.48 Å³/atom
Energy above the lowest structure with this stoichiometry ... 0.3089 eV/atom
Energy relative to the elements, uncorrected ... -306 meV/atom
Symmetry ... No. 216

***

# 3
The following is a DFT calculation (PBE-GGA) of crystalline LaRhCl2 at its relaxed geometry.

Lattice parameters (Å, degrees): 8.9524 8.9524 8.9524 23.06 23.06 23.06
Last column: nearest neighbours and their distance in Å.
Sites, in units of the cell vectors:
La1 0.0000 0.0000 0.0000  6 Cl 2.90
Rh1 0.5000 0.5000 0.5000  2 Cl 2.33
Cl1 0.4110 0.4110 0.4110  1 Rh 2.33
Cl2 0.5890 0.5890 0.5890  1 Rh 2.33

Results
DOS(E_F) ... 3.1 states/eV/f.u.
M_tot ... 0.98 Bohr magnetons per cell
Calculated volume ... 24.15 Å³/atom
Energy above the lowest structure with this stoichiometry ... 0.6378 eV/atom
Energy relative to the elements, uncorrected ... -725 meV/atom
Symmetry ... No. 166

***

# 4
The following is a DFT calculation (PBE-GGA) of crystalline LaRhCl2 at its relaxed geometry.

Lattice parameters (Å, degrees): 5.7949 5.7949 5.4679 93.47 93.47 37.97
Last column: nearest neighbours and their distance in Å.
Sites, in units of the cell vectors:
La1 0.0000 0.0000 0.0000  2 Rh 2.58
Rh1 0.6236 0.6236 0.2222  1 Cl 2.39, 2 La 2.58
Cl1 0.2798 0.2798 0.0231  2 Rh 2.81, 3 La 3.06-3.07
Cl2 0.5000 0.5000 0.5668  1 Rh 2.39

Results
M_tot ... 0.00 Bohr magnetons per cell
Calculated volume ... 28.18 Å³/atom
Energy above the lowest structure with this stoichiometry ... 0.0971 eV/atom
Energy relative to the elements, uncorrected ... -1266 meV/atom
Symmetry ... No. 8

***

# 5
The following is a DFT calculation (PBE-GGA) of crystalline LaRh2Cl at its relaxed geometry.

Lattice parameters (Å, degrees): 4.9613 4.9613 5.1663 114.13 114.13 45.71
Last column: nearest neighbours and their distance in Å.
Sites, in units of the cell vectors:
La1 0.0000 0.0000 0.0000  5 Rh 2.91-3.08, 2 Cl 2.92-3.02
Rh1 0.4628 0.4628 0.4085  3 Rh 2.59-2.85, 2 Cl 2.63
Rh2 0.7702 0.7702 0.3912  3 Rh 2.59-2.85, 2 Cl 2.62
Cl1 0.1784 0.1784 0.6293  4 Rh 2.62-2.63, 1 La 2.92

Results
DOS(E_F) ... 1.6 states/eV/f.u.
M_tot ... 0.00 Bohr magnetons per cell
Calculated volume ... 20.39 Å³/atom
Energy above the lowest structure with this stoichiometry ... 0.0938 eV/atom
Energy relative to the elements, uncorrected ... -521 meV/atom
Symmetry ... No. 8

***

# 6
The following is a DFT calculation (PBE-GGA) of crystalline LaRh2Cl at its relaxed geometry.

Lattice parameters (Å, degrees): 3.7332 3.7332 5.9351 90.00 90.00 105.48
Last column: nearest neighbours and their distance in Å.
Sites, in units of the cell vectors:
La1 0.0000 0.0000 0.0000  4 Rh 2.68, 2 Cl 2.97
Rh1 0.5000 0.5000 0.2441  2 La 2.68, 2 Cl 2.72, 1 Rh 2.90
Rh2 0.5000 0.5000 0.7559  2 La 2.68, 2 Cl 2.72, 1 Rh 2.90
Cl1 0.0000 0.0000 0.5000  4 Rh 2.72, 2 La 2.97

Results
DOS(E_F) ... 3.2 states/eV/f.u.
M_tot ... 0.00 Bohr magnetons per cell
Calculated volume ... 19.93 Å³/atom
Energy above the lowest structure with this stoichiometry ... 0.3776 eV/atom
Energy relative to the elements, uncorrected ... -237 meV/atom
Symmetry ... No. 65

***

# 7
The following is a DFT calculation (PBE-GGA) of crystalline La4Rh2Cl3 at its relaxed geometry.

Lattice parameters (Å, degrees): 4.1443 4.1443 18.1377 90.06 90.06 59.99
Last column: nearest neighbours and their distance in Å.
Sites, in units of the cell vectors:
La1 0.0014 0.0014 0.3062  3 Rh 2.96, 3 Cl 2.98
La2 0.3341 0.3341 0.1251  3 Rh 2.84
La3 0.6659 0.6659 0.8749  3 Rh 2.84
La4 0.9986 0.9986 0.6938  3 Rh 2.96, 3 Cl 2.98
Rh1 0.3323 0.3323 0.7902  6 La 2.84-2.96
Rh2 0.6677 0.6677 0.2098  6 La 2.84-2.96
Cl1 0.0000 0.0000 0.0000  6 La 3.30
Cl2 0.3349 0.3349 0.4038  3 La 2.98
Cl3 0.6651 0.6651 0.5962  3 La 2.98

Results
DOS(E_F) ... 4.8 states/eV/f.u.
M_tot ... 0.00 Bohr magnetons per cell
Calculated volume ... 29.97 Å³/atom
Energy relative to the elements, uncorrected ... -1452 meV/atom
Symmetry ... No. 12

***

# 8
The following is a DFT calculation (PBE-GGA) of crystalline LaRhCl2 at its relaxed geometry.

Lattice parameters (Å, degrees): 7.0576 7.0576 4.3259 91.04 91.04 32.16
Last column: nearest neighbours and their distance in Å.
Sites, in units of the cell vectors:
La1 0.0000 0.0000 0.0000  4 Rh 2.92, 4 Cl 2.97
Rh1 0.5000 0.5000 0.5000  2 Cl 2.36
Cl1 0.3507 0.3507 0.7738  1 Rh 2.36
Cl2 0.6493 0.6493 0.2262  1 Rh 2.36

Results
M_tot ... 0.00 Bohr magnetons per cell
Calculated volume ... 28.67 Å³/atom
Energy above the lowest structure with this stoichiometry ... 0.0000 eV/atom
Energy relative to the elements, uncorrected ... -1363 meV/atom
Symmetry ... No. 12

***

# 9
The following is a DFT calculation (PBE-GGA) of crystalline LaRhCl2 at its relaxed geometry.

Lattice parameters (Å, degrees): 4.8629 4.8629 4.8629 60.00 60.00 60.00
Last column: nearest neighbours and their distance in Å.
Sites, in units of the cell vectors:
La1 0.0000 0.0000 0.0000  8 Cl 2.98
Rh1 0.5000 0.5000 0.5000  8 Cl 2.98
Cl1 0.2500 0.2500 0.2500  4 La 2.98, 4 Rh 2.98
Cl2 0.7500 0.7500 0.7500  4 La 2.98, 4 Rh 2.98

Results
DOS(E_F) ... 0.5 states/eV/f.u.
M_tot ... 0.00 Bohr magnetons per cell
Calculated volume ... 20.33 Å³/atom
Energy above the lowest structure with this stoichiometry ... 0.4688 eV/atom
Energy relative to the elements, uncorrected ... -894 meV/atom
Symmetry ... No. 225

***

# 10
The following is a DFT calculation (PBE-GGA) of crystalline La3Rh2Cl at its relaxed geometry.

Lattice parameters (Å, degrees): 8.1099 8.1099 10.0854 90.00 90.00 150.43
Last column: nearest neighbours and their distance in Å.
Sites, in units of the cell vectors:
La1 0.1174 0.8826 0.5596  3 Rh 2.83-2.84
La2 0.1174 0.8826 0.9404  3 Rh 2.83-2.84
La3 0.3720 0.6280 0.7500  2 Rh 2.71
La4 0.6280 0.3720 0.2500  2 Rh 2.71
La5 0.8826 0.1174 0.0596  3 Rh 2.83-2.84
La6 0.8826 0.1174 0.4404  3 Rh 2.83-2.84
Rh1 0.0161 0.9839 0.2500  4 La 2.71-2.84
Rh2 0.5000 0.5000 0.0000  4 La 2.83
Rh3 0.5000 0.5000 0.5000  4 La 2.83
Rh4 0.9839 0.0161 0.7500  4 La 2.71-2.84
Cl1 0.2844 0.7156 0.2500  6 La 3.21-3.22
Cl2 0.7156 0.2844 0.7500  6 La 3.21-3.22

Results
DOS(E_F) ... 4.8 states/eV/f.u.
M_tot ... 1.20 Bohr magnetons per cell
Calculated volume ... 27.28 Å³/atom
Energy relative to the elements, uncorrected ... -840 meV/atom
Symmetry ... No. 63

***

# 11
The following is a DFT calculation (PBE-GGA) of crystalline LaRh2Cl at its relaxed geometry.

Lattice parameters (Å, degrees): 5.2516 5.2516 4.3388 93.02 93.02 41.64
Last column: nearest neighbours and their distance in Å.
Sites, in units of the cell vectors:
La1 0.0000 0.0000 0.0000  4 Cl 2.86, 6 Rh 2.90-3.04
Rh1 0.2716 0.2716 0.7710  1 Cl 2.59, 2 Rh 2.78, 1 La 2.90
Rh2 0.7284 0.7284 0.2290  1 Cl 2.59, 2 Rh 2.78, 1 La 2.90
Cl1 0.5000 0.5000 0.5000  2 Rh 2.59, 4 La 2.86

Results
DOS(E_F) ... 3.4 states/eV/f.u.
M_tot ... 0.00 Bohr magnetons per cell
Calculated volume ... 19.85 Å³/atom
Energy above the lowest structure with this stoichiometry ... 0.1447 eV/atom
Energy relative to the elements, uncorrected ... -470 meV/atom
Symmetry ... No. 12

***

# 12
The following is a DFT calculation (PBE-GGA) of crystalline LaRhCl2 at its relaxed geometry.

Lattice parameters (Å, degrees): 9.5318 9.5318 9.5318 152.54 152.54 39.23
Last column: nearest neighbours and their distance in Å.
Sites, in units of the cell vectors:
La1 0.0000 0.0000 0.0000  4 Cl 2.81
La2 0.7500 0.2500 0.5000  4 Cl 2.81
Rh1 0.2500 0.7500 0.5000  4 Cl 2.71
Rh2 0.5000 0.5000 0.0000  4 Cl 2.71
Cl1 0.1510 0.6250 0.0260  2 Rh 2.71, 2 La 2.81
Cl2 0.3750 0.4010 0.5260  2 Rh 2.71, 2 La 2.81
Cl3 0.5990 0.1250 0.9740  2 Rh 2.71, 2 La 2.81
Cl4 0.8750 0.8490 0.4740  2 Rh 2.71, 2 La 2.81

Results
DOS(E_F) ... 0.0 states/eV/f.u.
M_tot ... 0.00 Bohr magnetons per cell
Calculated volume ... 22.98 Å³/atom
Energy above the lowest structure with this stoichiometry ... 0.3303 eV/atom
Energy relative to the elements, uncorrected ... -1033 meV/atom
Symmetry ... No. 122

***

# 13
The following is a DFT calculation (PBE-GGA) of crystalline La4RhCl at its relaxed geometry.

Lattice parameters (Å, degrees): 6.2613 6.2613 6.2613 60.00 60.00 60.00
Last column: nearest neighbours and their distance in Å.
Sites, in units of the cell vectors:
La1 0.1248 0.1248 0.1248  6 La 3.12-3.14
La2 0.1248 0.1248 0.6257  6 La 3.12-3.14
La3 0.1248 0.6257 0.1248  6 La 3.12-3.14
La4 0.6257 0.1248 0.1248  6 La 3.12-3.14
Rh1 0.7500 0.7500 0.7500  12 La 3.67, 4 Cl 3.83
Cl1 0.5000 0.5000 0.5000  12 La 3.67, 4 Rh 3.83

Results
DOS(E_F) ... 8.7 states/eV/f.u.
M_tot ... 0.00 Bohr magnetons per cell
Calculated volume ... 28.93 Å³/atom
Energy relative to the elements, uncorrected ... 281 meV/atom
Symmetry ... No. 216

***

# 14
The following is a DFT calculation (PBE-GGA) of crystalline LaRh2Cl at its relaxed geometry.

Lattice parameters (Å, degrees): 3.8809 3.8809 5.4094 90.00 90.00 90.00
Last column: nearest neighbours and their distance in Å.
Sites, in units of the cell vectors:
La1 0.0000 0.0000 0.0000  4 Cl 2.74
Rh1 0.0000 0.5000 0.5000  4 Rh 2.74
Rh2 0.5000 0.0000 0.5000  4 Rh 2.74
Cl1 0.5000 0.5000 0.0000  4 La 2.74

Results
DOS(E_F) ... 4.1 states/eV/f.u.
M_tot ... 1.36 Bohr magnetons per cell
Calculated volume ... 20.37 Å³/atom
Energy above the lowest structure with this stoichiometry ... 0.2168 eV/atom
Energy relative to the elements, uncorrected ... -398 meV/atom
Symmetry ... No. 123

***

# 15
The following is a DFT calculation (PBE-GGA) of crystalline La4Rh2Cl at its relaxed geometry.

Lattice parameters (Å, degrees): 14.3981 14.3981 14.3981 16.71 16.71 16.71
Last column: nearest neighbours and their distance in Å.
Sites, in units of the cell vectors:
La1 0.1256 0.1256 0.1256  3 Rh 2.87
La2 0.2805 0.2805 0.2805  3 Rh 2.87
La3 0.7195 0.7195 0.7195  3 Rh 2.87
La4 0.8744 0.8744 0.8744  3 Rh 2.87
Rh1 0.4227 0.4227 0.4227  6 La 2.87
Rh2 0.5773 0.5773 0.5773  6 La 2.87
Cl1 0.0000 0.0000 0.0000  6 La 3.30

Results
DOS(E_F) ... 5.9 states/eV/f.u.
M_tot ... 0.00 Bohr magnetons per cell
Calculated volume ... 30.76 Å³/atom
Energy relative to the elements, uncorrected ... -964 meV/atom
Symmetry ... No. 166

***

# 16
The following is a DFT calculation (PBE-GGA) of crystalline LaRhCl2 at its relaxed geometry.

Lattice parameters (Å, degrees): 5.6290 5.6290 5.6290 136.84 136.84 62.69
Last column: nearest neighbours and their distance in Å.
Sites, in units of the cell vectors:
La1 0.0000 0.0000 0.0000  8 Cl 2.93-3.17, 4 Rh 3.17
Rh1 0.2500 0.7500 0.5000  8 Cl 2.93-3.17, 4 La 3.17
Cl1 0.5000 0.5000 0.0000  4 La 2.93, 4 Rh 3.17, 4 Cl 3.17
Cl2 0.7500 0.2500 0.5000  4 Rh 2.93, 4 La 3.17, 4 Cl 3.17

Results
DOS(E_F) ... 1.7 states/eV/f.u.
M_tot ... 0.00 Bohr magnetons per cell
Calculated volume ... 20.61 Å³/atom
Energy above the lowest structure with this stoichiometry ... 0.3987 eV/atom
Energy relative to the elements, uncorrected ... -964 meV/atom
Symmetry ... No. 119

***

# 17
The following is a DFT calculation (PBE-GGA) of crystalline LaRh2Cl at its relaxed geometry.

Lattice parameters (Å, degrees): 3.5465 3.5465 7.6376 90.00 90.00 90.00
Last column: nearest neighbours and their distance in Å.
Sites, in units of the cell vectors:
La1 0.0000 0.0000 0.0000  1 Rh 2.63
Rh1 0.0000 0.0000 0.3439  4 Rh 2.59, 1 La 2.63
Rh2 0.5000 0.5000 0.2571  4 Rh 2.59
Cl1 0.5000 0.5000 0.7824  4 La 3.01

Results
DOS(E_F) ... 3.1 states/eV/f.u.
M_tot ... 0.40 Bohr magnetons per cell
Calculated volume ... 24.02 Å³/atom
Energy above the lowest structure with this stoichiometry ... 0.0015 eV/atom
Energy relative to the elements, uncorrected ... -613 meV/atom
Symmetry ... No. 99

***

# 18
The following is a DFT calculation (PBE-GGA) of crystalline La3RhCl at its relaxed geometry.

Lattice parameters (Å, degrees): 5.6406 5.6406 5.6406 90.00 90.00 90.00
Last column: nearest neighbours and their distance in Å.
Sites, in units of the cell vectors:
La1 0.0000 0.0000 0.5000  2 Rh 2.82
La2 0.0000 0.5000 0.0000  2 Rh 2.82
La3 0.5000 0.0000 0.0000  2 Rh 2.82
Rh1 0.0000 0.0000 0.0000  6 La 2.82
Cl1 0.5000 0.5000 0.5000  12 La 3.99

Results
DOS(E_F) ... 8.6 states/eV/f.u.
M_tot ... 0.76 Bohr magnetons per cell
Calculated volume ... 35.89 Å³/atom
Energy above the lowest structure with this stoichiometry ... 0.0000 eV/atom
Energy relative to the elements, uncorrected ... -474 meV/atom
Symmetry ... No. 221

***

# 19
The following is a DFT calculation (PBE-GGA) of crystalline LaRhCl2 at its relaxed geometry.

Lattice parameters (Å, degrees): 3.7471 3.7471 6.0864 90.00 90.00 90.00
Last column: nearest neighbours and their distance in Å.
Sites, in units of the cell vectors:
La1 0.0000 0.0000 0.0000  8 Cl 3.03, 2 Rh 3.04
Rh1 0.0000 0.0000 0.5000  2 La 3.04, 8 Cl 3.08
Cl1 0.5000 0.5000 0.2424  2 Cl 2.95-3.14, 4 La 3.03, 4 Rh 3.08
Cl2 0.5000 0.5000 0.7576  2 Cl 2.95-3.14, 4 La 3.03, 4 Rh 3.08

Results
DOS(E_F) ... 4.9 states/eV/f.u.
M_tot ... 0.41 Bohr magnetons per cell
Calculated volume ... 21.36 Å³/atom
Energy above the lowest structure with this stoichiometry ... 0.6691 eV/atom
Energy relative to the elements, uncorrected ... -694 meV/atom
Symmetry ... No. 123

***

# 20
The following is a DFT calculation (PBE-GGA) of crystalline La8Ru3RhCl4 at its relaxed geometry.

Lattice parameters (Å, degrees): 9.0259 9.0259 9.0259 54.58 54.58 54.58
Last column: nearest neighbours and their distance in Å.
Sites, in units of the cell vectors:
La1 0.2294 0.7373 0.7373  2 Ru 2.84, 1 Rh 2.89
La2 0.2353 0.2353 0.2353  3 Ru 2.86
La3 0.2627 0.2627 0.7706  2 Ru 2.84, 1 Rh 2.89
La4 0.2627 0.7706 0.2627  2 Ru 2.84, 1 Rh 2.89
La5 0.7373 0.2294 0.7373  2 Ru 2.84, 1 Rh 2.89
La6 0.7373 0.7373 0.2294  2 Ru 2.84, 1 Rh 2.89
La7 0.7647 0.7647 0.7647  3 Ru 2.86
La8 0.7706 0.2627 0.2627  2 Ru 2.84, 1 Rh 2.89
Ru1 0.0000 0.0000 0.5000  6 La 2.84-2.86
Ru2 0.0000 0.5000 0.0000  6 La 2.84-2.86
Ru3 0.5000 0.0000 0.0000  6 La 2.84-2.86
Rh1 0.5000 0.5000 0.5000  6 La 2.89
Cl1 0.0000 0.0000 0.0000  6 La 3.27
Cl2 0.0000 0.5000 0.5000  6 La 3.28-3.31
Cl3 0.5000 0.0000 0.5000  6 La 3.28-3.31
Cl4 0.5000 0.5000 0.0000  6 La 3.28-3.31

Results
DOS(E_F) ... 9.7 states/eV/f.u.
M_tot ... 0.00 Bohr magnetons per cell
Calculated volume ... 28.39 Å³/atom
Energy relative to the elements, uncorrected ... -1093 meV/atom
Symmetry ... No. 166